1.
Entry from Alexandria via LeMat-Bulk: a geometry-optimized K3MgPd2F9 structure (PBE). Values from VASP.

Structure (Quantum ESPRESSO input):
```
&SYSTEM
  ibrav = 0, nat = 15, ntyp = 4
/
ATOMIC_SPECIES
K 39.10 K.upf
Mg 24.30 Mg.upf
Pd 106.42 Pd.upf
F 19.00 F.upf
CELL_PARAMETERS angstrom
5.9758 0.0000 0.0000
-2.9879 5.1752 0.0000
0.0000 0.0000 7.3110
ATOMIC_POSITIONS angstrom
K 0.0000 0.0000 0.0000
K 0.0000 3.4501 4.8265
K 2.9879 1.7251 2.4846
Mg 0.0000 0.0000 3.6555
Pd 0.0000 3.4501 1.2499
Pd 2.9879 1.7251 6.0611
F -1.4940 2.5876 0.0000
F 0.0000 1.6374 2.4983
F -1.5699 4.3565 2.4983
F 1.4180 0.8187 4.8127
F 2.9879 0.0000 0.0000
F 1.4940 2.5876 0.0000
F 1.5699 4.3565 2.4983
F 4.5578 0.8187 4.8127
F 2.9879 3.5379 4.8127
```

Computed properties:
* D(E_F): 0.13 states/eV per atom
* uncorrected energy: -66.76 eV per cell


2.
Entry from Alexandria via LeMat-Bulk: a geometry-optimized SrLiMgPt structure (PBE). Values from VASP.

Structure (Quantum ESPRESSO input):
```
&SYSTEM
  ibrav = 0, nat = 4, ntyp = 4
/
ATOMIC_SPECIES
Sr 87.62 Sr.upf
Li 6.94 Li.upf
Mg 24.30 Mg.upf
Pt 195.08 Pt.upf
CELL_PARAMETERS angstrom
4.0017 -2.3044 0.0000
4.0017 2.3044 0.0000
-2.6993 0.0000 5.3066
ATOMIC_POSITIONS angstrom
Sr 0.0000 0.0000 0.0000
Li -0.0211 0.0000 3.1047
Mg 2.6493 0.0000 2.3858
Pt 5.3140 0.0000 2.1426
```

Computed properties:
* D(E_F): 0.54 states/eV per atom
* energy above the most stable polymorph in this dataset: 0.00 eV per formula unit
* ΔH_f (0 K): -0.542 eV per atom